A plane-wave DFT calculation with PBE was carried out for a geometry-optimized Be2TcBRh structure.

Lattice parameters (Å, degrees): 4.048 4.048 3.926 90.00 90.00 90.00
Fractional coordinates of all 5 atoms:
Be 0.000 0.500 0.000
Be 0.500 0.000 0.000
Tc 0.000 0.000 0.500
B 0.500 0.500 0.500
Rh 0.500 0.500 0.000

Output
DOS(E_F): 3.4 states/eV per cell
space group: P4/mmm
energy relative to the elements: 754 meV/atom